Cs2CrReO6: optimized geometry, PBE with a Hubbard U.

Values from the calculation:
Spin magnetization, μB per formula unit: 3.0
Calculated volume, Å³ per atom: 19.20
Raw total energy, eV/cell: -68.4

a b c (Å): 6.540 6.540 5.183
angles (deg): 90.00 90.00 120.00
Atoms (fractional coordinates):
Cs (0.333, 0.667, 0.260)
Cs (0.667, 0.333, 0.740)
Cr (0.000, 0.000, 0.500)
Re (0.000, 0.000, 0.000)
O (0.131, 0.263, 0.768)
O (0.131, 0.869, 0.768)
O (0.263, 0.131, 0.232)
O (0.737, 0.869, 0.768)
O (0.869, 0.131, 0.232)
O (0.869, 0.737, 0.232)